[1]
TcGeRu2S: optimized geometry, PBE.

It has space group P4/mmm (No. 123), with a = 4.261 Å, b = 4.261 Å, c = 4.905 Å, α = 90.00°, β = 90.00° and γ = 90.00°. The distinct sites, in fractional coordinates, are Tc at (0.000, 0.000, 0.000), Ge at (0.500, 0.500, 0.000), Ru at (0.000, 0.500, 0.500) and S at (0.500, 0.500, 0.500).

The formation energy without anion corrections is 975 meV/atom. The calculation puts the total magnetization at 0.6336 μB/atom. Its density of states at the Fermi level is 3.84 states/eV/cell.

[2]
Pm8Co2Si: optimized geometry, PBE.

It has space group Cm (No. 8), with a = 8.308 Å, b = 12.614 Å, c = 6.355 Å, α = 90.00°, β = 109.41° and γ = 90.00°. The distinct sites, in fractional coordinates, are Pm at (0.000, 0.000, 0.000), Pm at (0.080, 0.364, 0.816), Pm at (0.156, 0.135, 0.605), Pm at (0.222, 0.500, 0.392), Pm at (0.368, 0.213, 0.207), Co at (0.369, 0.310, 0.698) and Si at (0.364, 0.000, 0.004).

The formation energy without anion corrections is -71 meV/atom. The calculation puts the total magnetization at 0.0000 μB/atom. Its density of states at the Fermi level is 20.98 states/eV/cell.

[3]
BaCaPb: optimized geometry, PBE.

It has space group P4/nmm (No. 129, origin choice 2), with a = 5.320 Å, b = 5.320 Å, c = 8.544 Å, α = 90.00°, β = 90.00° and γ = 90.00°. The distinct sites, in fractional coordinates, are Ba at (0.250, 0.250, 0.146), Ca at (0.250, 0.750, 0.500) and Pb at (0.250, 0.250, 0.728).

The calculation puts the total magnetization at 0.0000 μB/atom. Its density of states at the Fermi level is 0.47 states/eV/cell. The value obtained for the electronic total energy is -3.129 eV/atom.

[4]
Nb4Co3Si7: optimized geometry, PBE.

It has space group F222 (No. 22), with a = 4.940 Å, b = 17.286 Å, c = 18.092 Å, α = 90.00°, β = 90.00° and γ = 90.00°. The distinct sites, in fractional coordinates, are Nb at (0.000, 0.000, 0.134), Nb at (0.000, 0.136, 0.000), Nb at (0.010, 0.097, 0.599), Co at (0.250, 0.099, 0.250), Co at (0.250, 0.136, 0.750), Co at (0.250, 0.250, 0.099), Si at (0.000, 0.000, 0.289), Si at (0.000, 0.207, 0.500), Si at (0.014, 0.250, 0.250), Si at (0.031, 0.146, 0.149), Si at (0.246, 0.000, 0.500) and Si at (0.250, 0.250, 0.608).

The formation energy without anion corrections is -471 meV/atom. The calculation puts the total magnetization at 0.0000 μB/atom. Its density of states at the Fermi level is 49.60 states/eV/cell.

[5]
AsPt2Br: optimized geometry, PBE.

It has space group P3m1 (No. 156), with a = 3.9306 Å, b = 3.9306 Å, c = 6.9393 Å, α = 90.00°, β = 90.00° and γ = 120.00°. The distinct sites, in fractional coordinates, are As at (0.0000, 0.0000, 0.0000), Pt at (0.3333, 0.6667, 0.6785), Pt at (0.6667, 0.3333, 0.8894) and Br at (0.0000, 0.0000, 0.4710).

The formation energy without anion corrections is -165 meV/atom. The calculation puts the total magnetization at 0.0000 μB/atom. Its density of states at the Fermi level is 0.68 states/eV/cell. For the energy above the lowest structure with this stoichiometry, the calculation gives 0.0000 eV per atom.

[6]
Ca5YIn3: optimized geometry, PBE.

It has space group P6_3/mcm (No. 193), with a = 9.5361 Å, b = 9.5361 Å, c = 7.0939 Å, α = 90.00°, β = 90.00° and γ = 120.00°. The distinct sites, in fractional coordinates, are Ca at (0.0000, 0.3398, 0.2500), Ca at (0.3333, 0.6667, 0.0000), Y at (0.0000, 0.0000, 0.0000) and In at (0.0000, 0.3186, 0.7500).

The calculation puts the total magnetization at 0.0000 μB/atom. Its density of states at the Fermi level is 20.61 states/eV/cell. The value obtained for the electronic total energy is -3.090 eV/atom.

[7]
KBeIr2: optimized geometry, PBE.

It has space group R-3m (No. 166, hexagonal axes), with a = 2.8132 Å, b = 2.8132 Å, c = 27.1361 Å, α = 90.00°, β = 90.00° and γ = 120.00°. The distinct sites, in fractional coordinates, are K at (0.0000, 0.0000, 0.0000), Be at (0.0000, 0.0000, 0.5000) and Ir at (0.0000, 0.0000, 0.2299).

The calculation puts the total magnetization at 0.0059 μB/atom. Its density of states at the Fermi level is 13.64 states/eV/cell. The value obtained for the electronic total energy is -5.405 eV/atom.

[8]
KTlAs2: optimized geometry, PBE.

It has space group Pm (No. 6), with a = 5.265 Å, b = 3.796 Å, c = 6.548 Å, α = 90.00°, β = 106.72° and γ = 90.00°. The distinct sites, in fractional coordinates, are K at (0.000, 0.000, 0.000), Tl at (0.339, 0.500, 0.570), As at (0.570, 0.500, 0.207) and As at (0.791, 0.000, 0.446).

The calculation puts the total magnetization at 0.0000 μB/atom. Its density of states at the Fermi level is 0.28 states/eV/cell. For the energy above the lowest structure with this stoichiometry, the calculation gives 0.0000 eV per atom.

[9]
KIn2AgCl8: optimized geometry, PBE.

It has space group I-4m2 (No. 119), with a = 10.103 Å, b = 10.103 Å, c = 8.087 Å, α = 90.00°, β = 90.00° and γ = 90.00°. The distinct sites, in fractional coordinates, are K at (0.000, 0.000, 0.000), In at (0.000, 0.000, 0.500), In at (0.000, 0.500, 0.250), Ag at (0.000, 0.500, 0.750), Cl at (0.000, 0.190, 0.677) and Cl at (0.000, 0.326, 0.048).

The formation energy without anion corrections is -1091 meV/atom. The calculation puts the total magnetization at 0.0000 μB/atom. Its density of states at the Fermi level is 0.00 states/eV/cell.

[10]
DyHoCu2Si2: optimized geometry, PBE.

It has space group P-3m1 (No. 164), with a = 4.1543 Å, b = 4.1543 Å, c = 7.4082 Å, α = 90.00°, β = 90.00° and γ = 120.00°. The distinct sites, in fractional coordinates, are Dy at (0.0000, 0.0000, 0.0000), Ho at (0.0000, 0.0000, 0.5000), Cu at (0.3333, 0.6667, 0.7474) and Si at (0.3333, 0.6667, 0.2513).

The formation energy without anion corrections is -672 meV/atom. The calculation puts the total magnetization at 0.0000 μB/atom. Its density of states at the Fermi level is 1.35 states/eV/cell.

[11]
Nd2BrN2: optimized geometry, PBE.

It has space group C2/c (No. 15), with a = 14.750 Å, b = 4.195 Å, c = 6.621 Å, α = 90.00°, β = 101.44° and γ = 90.00°. The distinct sites, in fractional coordinates, are Nd at (0.162, 0.175, 0.145), Br at (0.000, 0.264, 0.750) and N at (0.216, 0.358, 0.523).

The formation energy without anion corrections is -1125 meV/atom. The calculation puts the total magnetization at 0.0000 μB/atom. Its density of states at the Fermi level is 9.08 states/eV/cell.

[12]
DyGa4Ag: optimized geometry, PBE.

It has space group F-43m (No. 216), with a = 7.755 Å, b = 7.755 Å, c = 7.755 Å, α = 90.00°, β = 90.00° and γ = 90.00°. The distinct sites, in fractional coordinates, are Dy at (0.000, 0.000, 0.000), Ga at (0.125, 0.125, 0.375) and Ag at (0.250, 0.250, 0.750).

The calculation puts the total magnetization at 0.0000 μB/atom. Its density of states at the Fermi level is 13.40 states/eV/cell. For the energy above the lowest structure with this stoichiometry, the calculation gives 0.0280 eV per atom.

Q: Among the records above, which one has the highest total magnetization?
A: TcGeRu2S

Q: Among the records above, which one has the highest total magnetization?
A: TcGeRu2S